Density functional theory data (meta-GGA SCAN) for a crystal of Al2SiNi5 relaxed with PBEsol.

abc: 6.939 6.939 6.939
angles: 148.97 148.97 44.45
Fractional coordinates of all 8 atoms:
Al  0.246  0.246  0.000
Al  0.754  0.754  0.000
Si  0.500  0.500  0.000
Ni  0.000  0.000  0.000
Ni  0.122  0.622  0.500
Ni  0.378  0.878  0.500
Ni  0.622  0.122  0.500
Ni  0.878  0.378  0.500

Calculated values
E above lowest polymorph = 99 meV/atom
space group = I4/mmm
formation energy from raw total energies = -413 kJ/mol of formula units
ρ = 7.0 g/cm³
DOS(E_F) = 0.473 states/eV/atom
raw total energy = -13.834 eV per atom